Entry 1:
KLiMn2, relaxed, DFT PBE; total DFT energy (no corrections) = -4.01 eV/atom; space-group type = No. 123; calculated formation energy = 1.329 eV/atom; excess energy over the best structure of this formula in the dataset = 0.667 eV/atom
1.0
-2.355 4.434 -1.799
-0.860 -1.630 -2.892
-2.954 -0.987 1.435
K Li Mn
1 1 2
direct
0.500 0.500 0.000 K
0.500 0.000 0.500 Li
0.000 0.000 0.000 Mn
0.000 0.500 0.500 Mn

Entry 2:
TaAgAs, relaxed, DFT PBE; total DFT energy (no corrections) = -6.30 eV/atom; space-group type = No. 156; calculated formation energy = 0.147 eV/atom
1.0
2.997 0.000 0.000
-1.499 2.596 0.000
0.000 0.000 7.073
As Ag Ta
1 1 1
direct
0.667 0.333 0.353 As
0.000 0.000 0.993 Ag
0.333 0.667 0.654 Ta

Entry 3:
RbTl6Pb2, relaxed, DFT PBE; total DFT energy (no corrections) = -2.51 eV/atom; space-group type = No. 71; calculated formation energy = 0.000 eV/atom; excess energy over the best structure of this formula in the dataset = 0.000 eV/atom
1.0
-0.735 1.375 -3.054
-9.283 3.757 2.001
-1.435 9.717 2.795
Rb Tl Pb
1 6 2
direct
0.000 0.000 0.000 Rb
0.674 0.007 0.646 Tl
0.326 0.993 0.354 Tl
0.326 0.354 0.993 Tl
0.500 0.662 0.338 Tl
0.500 0.338 0.662 Tl
0.674 0.646 0.007 Tl
0.846 0.654 0.654 Pb
0.154 0.346 0.346 Pb

Entry 4:
RbTaTi2Cr, relaxed, DFT PBE; total DFT energy (no corrections) = -4.85 eV/atom; space-group type = No. 123; calculated formation energy = 2.798 eV/atom
1.0
4.515 0.000 0.000
0.000 4.945 0.000
0.000 0.000 4.515
Cr Ti Rb Ta
1 2 1 1
direct
0.500 0.500 0.500 Cr
0.000 0.000 0.500 Ti
0.500 0.000 0.000 Ti
0.000 0.000 0.000 Rb
0.000 0.500 0.000 Ta

Entry 5:
Sr2Be2I, relaxed, DFT PBE; total DFT energy (no corrections) = -2.35 eV/atom; space-group type = No. 139; excess energy over the best structure of this formula in the dataset = 0.029 eV/atom; formation energy from raw total energies = 0.12 eV per atom
1.0
-2.873 -0.326 -2.600
-0.213 -3.817 0.713
-7.972 -0.425 5.953
I Sr Be
1 2 2
direct
0.000 0.000 0.000 I
0.376 0.376 0.248 Sr
0.624 0.624 0.752 Sr
0.750 0.250 0.500 Be
0.250 0.750 0.500 Be

Entry 6:
Pm2Pr3TmS6, relaxed, DFT PBE; total DFT energy (no corrections) = -6.44 eV/atom; space-group type = No. 12; formation energy from raw total energies = -2.01 eV per atom
1.0
-1.852 3.565 -5.710
-4.891 -2.588 4.257
2.317 5.307 3.983
Pm Pr Tm S
2 3 1 6
direct
0.333 0.667 0.000 Pm
0.667 0.333 0.000 Pm
0.172 0.828 0.500 Pr
0.828 0.172 0.500 Pr
0.500 0.500 0.500 Pr
0.000 0.000 0.000 Tm
0.922 0.599 0.764 S
0.758 0.758 0.240 S
0.078 0.401 0.236 S
0.599 0.922 0.764 S
0.242 0.242 0.760 S
0.401 0.078 0.236 S